Entry 1:
A geometry-optimized CoRh2CSe structure. Source: the Alexandria database, functional PBE.

Values from the calculation:
E, eV per atom: -5.039
Magnetization, Bohr magnetons per cell: 1.215
Mass density, g/cm3: 6.62
Space group: No. 123
ΔE_f (raw), eV per atom: 1.86

Cell lengths 4.565, 4.278, 4.565 Å; angles 90.00, 90.00, 90.00 degrees
Site moments in Bohr magnetons follow the coordinates.
Element x y z (fractional)
Co 0.000 0.500 0.000  1.41
C 0.500 0.500 0.500  -0.07
Rh 0.000 0.000 0.500  -0.01
Rh 0.500 0.000 0.000  -0.02
Se 0.000 0.000 0.000  -0.02

Entry 2:
A geometry-optimized CoSn2RhC structure. Source: the Alexandria database, functional PBE.

Values from the calculation:
E, eV per atom: -5.799
Magnetization, Bohr magnetons per cell: 0.720
Mass density, g/cm3: 8.42
Formation enthalpy at 0 K, eV/f.u.: 2.7
Space group: No. 123

Cell lengths 4.758, 3.585, 4.758 Å; angles 90.00, 90.00, 90.00 degrees
Site moments in Bohr magnetons follow the coordinates.
Element x y z (fractional)
Co 0.000 0.500 0.000  0.54
C 0.000 0.000 0.000  0.01
Rh 0.500 0.500 0.500  0.14
Sn 0.000 0.000 0.500  0.03
Sn 0.500 0.000 0.000  0.00

Entry 3:
A geometry-optimized Ta2CoRhC structure. Source: the Alexandria database, functional PBE.

Values from the calculation:
E, eV per atom: -9.761
Magnetization, Bohr magnetons per cell: 1.122
Mass density, g/cm3: 12.98
Formation enthalpy at 0 K, eV/f.u.: -1.4
Space group: No. 123

Cell lengths 4.267, 4.267, 3.764 Å; angles 90.00, 90.00, 90.00 degrees
Site moments in Bohr magnetons follow the coordinates.
Element x y z (fractional)
Co 0.000 0.000 0.500  0.93
C 0.000 0.000 0.000  0.01
Rh 0.500 0.500 0.500  0.15
Ta 0.000 0.500 0.000  0.03
Ta 0.500 0.000 0.000  0.03